Entry from the Alexandria database: a relaxed YSc2Hg crystal (GGA-PBE).

Output
- Formation energy from the elements: -0.110 eV/atom
- Density of states at the Fermi level: 5.58 states/eV/f.u.
- SG: R3m (160)

abc: 10.205 10.205 10.205
angles: 19.58 19.58 19.58
Fractional positions:
Y 0.000 0.000 0.000
Sc 0.575 0.575 0.575
Sc 0.757 0.757 0.757
Hg 0.166 0.166 0.166



Entry from the Alexandria database: a relaxed NpZnPbO6 crystal (GGA-PBE).

Output
- Density of states at the Fermi level: 2.44 states/eV/f.u.
- E_form (uncorrected): -1.768 eV/atom
- SG: P-31c (163)

abc: 5.430 5.430 10.089
angles: 90.00 90.00 120.00
Fractional positions:
Np 0.333 0.667 0.250
Np 0.667 0.333 0.750
Zn 0.333 0.667 0.750
Zn 0.667 0.333 0.250
Pb 0.000 0.000 0.000
Pb 0.000 0.000 0.500
O 0.013 0.363 0.139
O 0.013 0.649 0.361
O 0.351 0.363 0.361
O 0.351 0.987 0.139
O 0.363 0.013 0.639
O 0.363 0.351 0.861
O 0.637 0.649 0.139
O 0.637 0.987 0.361
O 0.649 0.013 0.861
O 0.649 0.637 0.639
O 0.987 0.351 0.639
O 0.987 0.637 0.861



Question: What is the density of states at the Fermi level in the second record?
Answer: 2.44 states/eV/f.u.